No. 1
The following is a PBE calculation of an optimized crystal structure of Cr3WCl, from Alexandria via LeMat-Bulk.

The structure in POSCAR format:
```
Cr3WCl
1.0
4.8372 0.0000 0.0000
0.0000 4.8372 0.0000
0.0000 0.0000 4.8372
Cr W Cl
3 1 1
direct
0.0000 0.0000 0.5000 Cr
0.0000 0.5000 0.0000 Cr
0.5000 0.0000 0.0000 Cr
0.0000 0.0000 0.0000 W
0.5000 0.5000 0.5000 Cl
```

Calculated values
Its energy relative to the lowest polymorph listed for this composition is 0.4583 eV per atom. Its space group is No. 221. The calculated volume comes out at 22.64 A^3/atom. The value obtained for the formation energy without anion corrections is 7.43 eV per formula unit.

No. 2
The following is a PBE calculation of an optimized crystal structure of CaP3Pt, from Alexandria via LeMat-Bulk.

The structure in POSCAR format:
```
CaP3Pt
1.0
5.0438 0.0000 0.0000
0.0000 5.0438 0.0000
0.0000 0.0000 5.0438
Ca P Pt
1 3 1
direct
0.0000 0.0000 0.0000 Ca
0.0000 0.0000 0.5000 P
0.0000 0.5000 0.0000 P
0.5000 0.0000 0.0000 P
0.5000 0.5000 0.5000 Pt
```

Calculated values
Its energy relative to the lowest polymorph listed for this composition is 2.0887 eV per atom. Its space group is No. 221. The calculated volume comes out at 25.66 A^3/atom. As for the formation energy: 7.90 eV/f.u.

No. 3
The following is a PBE calculation of an optimized crystal structure of Tm2AlF, from Alexandria via LeMat-Bulk.

The structure in POSCAR format:
```
Tm2AlF
1.0
3.5394 0.0000 0.0000
-1.7697 3.0652 0.0000
0.0000 0.0000 22.2340
Tm Al F
6 3 3
direct
0.0000 0.0000 0.2346 Tm
0.0000 0.0000 0.7654 Tm
0.3333 0.6667 0.4321 Tm
0.3333 0.6667 0.9013 Tm
0.6667 0.3333 0.0987 Tm
0.6667 0.3333 0.5679 Tm
0.0000 0.0000 0.0000 Al
0.3333 0.6667 0.6667 Al
0.6667 0.3333 0.3333 Al
0.0000 0.0000 0.5000 F
0.3333 0.6667 0.1667 F
0.6667 0.3333 0.8333 F
```

Calculated values
Its space group is No. 166. The calculated volume comes out at 20.10 A^3/atom. The value obtained for the formation energy without anion corrections is -4.83 eV per formula unit.

No. 4
The following is a PBE calculation of an optimized crystal structure of SrCu3Cl, from Alexandria via LeMat-Bulk.

The structure in POSCAR format:
```
SrCu3Cl
1.0
5.6297 0.0000 0.0000
0.0000 5.6297 0.0000
0.0000 0.0000 5.6297
Sr Cu Cl
1 3 1
direct
0.0000 0.0000 0.0000 Sr
0.0000 0.0000 0.5000 Cu
0.0000 0.5000 0.0000 Cu
0.5000 0.0000 0.0000 Cu
0.5000 0.5000 0.5000 Cl
```

Calculated values
Its energy relative to the lowest polymorph listed for this composition is 0.7161 eV per atom. Its space group is No. 221. The calculated volume comes out at 35.69 A^3/atom. The value obtained for the formation energy without anion corrections is 6.11 eV per formula unit.

No. 5
The following is a PBE calculation of an optimized crystal structure of TiSbTe2H, from Alexandria via LeMat-Bulk.

The structure in POSCAR format:
```
TiSbTe2H
1.0
5.3478 0.0000 0.0000
0.0000 5.3478 0.0000
0.0000 0.0000 5.2677
Ti Sb Te H
1 1 2 1
direct
0.0000 0.0000 0.0000 Ti
0.0000 0.0000 0.5000 Sb
0.0000 0.5000 0.0000 Te
0.5000 0.0000 0.0000 Te
0.5000 0.5000 0.5000 H
```

Calculated values
Its energy relative to the lowest polymorph listed for this composition is 0.0829 eV per atom. Its space group is No. 123. The calculated volume comes out at 30.13 A^3/atom.

No. 6
The following is a PBE calculation of an optimized crystal structure of AlAg2P, from Alexandria via LeMat-Bulk.

The structure in POSCAR format:
```
AlAg2P
1.0
3.0631 0.0000 0.0000
-1.5315 2.6527 0.0000
0.0000 0.0000 25.2057
Al Ag P
3 6 3
direct
0.0000 0.0000 0.0000 Al
0.3333 0.6667 0.6667 Al
0.6667 0.3333 0.3333 Al
0.0000 0.0000 0.2490 Ag
0.0000 0.0000 0.7510 Ag
0.3333 0.6667 0.4177 Ag
0.3333 0.6667 0.9157 Ag
0.6667 0.3333 0.0843 Ag
0.6667 0.3333 0.5823 Ag
0.0000 0.0000 0.5000 P
0.3333 0.6667 0.1667 P
0.6667 0.3333 0.8333 P
```

Calculated values
Its energy relative to the lowest polymorph listed for this composition is 0.1264 eV per atom. Its space group is No. 166. The calculated volume comes out at 17.07 A^3/atom. As for the formation energy: 0.86 eV/f.u.

No. 7
The following is a PBE calculation of an optimized crystal structure of Mg12AlPb3, from Alexandria via LeMat-Bulk.

The structure in POSCAR format:
```
Mg12AlPb3
1.0
4.4940 0.0000 0.0000
0.0000 4.4940 0.0000
0.0000 0.0000 18.3006
Mg Al Pb
12 1 3
direct
0.0000 0.0000 0.0000 Mg
0.0000 0.0000 0.2445 Mg
0.0000 0.0000 0.5000 Mg
0.0000 0.0000 0.7555 Mg
0.0000 0.5000 0.1156 Mg
0.0000 0.5000 0.3723 Mg
0.0000 0.5000 0.6277 Mg
0.0000 0.5000 0.8844 Mg
0.5000 0.0000 0.1156 Mg
0.5000 0.0000 0.3723 Mg
0.5000 0.0000 0.6277 Mg
0.5000 0.0000 0.8844 Mg
0.5000 0.5000 0.0000 Al
0.5000 0.5000 0.2453 Pb
0.5000 0.5000 0.5000 Pb
0.5000 0.5000 0.7547 Pb
```

Calculated values
Its space group is No. 123. The calculated volume comes out at 23.10 A^3/atom. As for the formation energy: -0.65 eV/f.u.

No. 8
The following is a PBE calculation of an optimized crystal structure of La3CeGa2, from Alexandria via LeMat-Bulk.

The structure in POSCAR format:
```
La3CeGa2
1.0
-3.2720 8.3619 3.2541
3.2720 -8.3619 3.2541
3.2720 8.3619 -3.2541
La Ce Ga
6 2 4
direct
0.1830 0.7465 0.9296 La
0.2500 0.2500 0.0000 La
0.3170 0.2465 0.5635 La
0.6830 0.7535 0.4365 La
0.7500 0.7500 0.0000 La
0.8170 0.2535 0.0704 La
0.2500 0.7500 0.5000 Ce
0.7500 0.2500 0.5000 Ce
0.1305 0.2570 0.3875 Ga
0.3695 0.7570 0.1265 Ga
0.6305 0.2430 0.8735 Ga
0.8695 0.7430 0.6125 Ga
```

Calculated values
Its space group is No. 72. The calculated volume comes out at 29.68 A^3/atom. As for the formation energy: -2.17 eV/f.u.

no.,E (eV per atom),Fermi-level density of states (states/eV per cell)
1,-7.25,3.0
2,-3.27,6.1
3,-4.85,4.5
4,-1.94,3.0
5,-3.91,3.6
6,-3.50,8.2
7,-2.17,5.6
8,-4.82,20.5